MnGaCoO4 | GGA+U | optimized geometry

```
data_MnGaCoO4
_cell_length_a 5.929
_cell_length_b 5.951
_cell_length_c 8.421
_cell_angle_alpha 90.00
_cell_angle_beta 90.00
_cell_angle_gamma 90.00
_symmetry_space_group_name_H-M 'I m m a'
_symmetry_Int_Tables_number 74
_symmetry_space_group_name_Hall '-I 2b 2'
loop_
_atom_site_label
_atom_site_type_symbol
_atom_site_fract_x
_atom_site_fract_y
_atom_site_fract_z
Mn1 Mn 0.250 0.250 0.250
Ga1 Ga 0.000 0.000 0.000
Co1 Co 0.000 0.250 0.624
O1 O 0.000 0.024 0.240
O2 O 0.228 0.250 0.013
```

M_tot in μB/f.u.: 5.0
Calculated volume in Å³/atom: 10.6
Total DFT energy (no corrections) in hartree per atom: -0.23786